# CaVTe2N (PBE, optimized geometry)
data_CaVTe2N
_chemical_formula_sum 'Ca1 V1 Te2 N1'
_symmetry_space_group_name_H-M 'P 1'
_symmetry_Int_Tables_number 1
_cell_length_a 5.785
_cell_length_b 5.785
_cell_length_c 4.057
_cell_angle_alpha 90.00
_cell_angle_beta 90.00
_cell_angle_gamma 90.00
loop_
_symmetry_equiv_pos_as_xyz
'x,y,z'
loop_
_atom_site_label
_atom_site_type_symbol
_atom_site_fract_x
_atom_site_fract_y
_atom_site_fract_z
Ca1 Ca 0.000 0.000 0.000
V1 V 0.500 0.500 0.500
Te1 Te 0.000 0.500 0.000
Te2 Te 0.500 0.000 0.000
N1 N 0.000 0.000 0.500
# - M_tot: 0.28 μB per formula unit
# - Uncorrected formation energy: 27.7 kcal/mol of atoms
# - ρ: 4.41 g cm⁻³
# - Relative energy among the computed polymorphs: 1.697 eV per atom
# - Total energy: -19.715 eV/cell

---

# SrH3Pt (PBE, optimized geometry)
data_SrH3Pt
_chemical_formula_sum 'Sr2 H6 Pt2'
_symmetry_space_group_name_H-M 'P 1'
_symmetry_Int_Tables_number 1
_cell_length_a 4.518
_cell_length_b 4.785
_cell_length_c 6.512
_cell_angle_alpha 83.19
_cell_angle_beta 70.25
_cell_angle_gamma 86.58
loop_
_symmetry_equiv_pos_as_xyz
'x,y,z'
loop_
_atom_site_label
_atom_site_type_symbol
_atom_site_fract_x
_atom_site_fract_y
_atom_site_fract_z
Sr1 Sr 0.000 0.000 0.000
Sr2 Sr 0.282 0.467 0.450
H1 H 0.236 0.527 0.818
H2 H 0.382 0.254 0.106
H3 H 0.711 0.191 0.739
H4 H 0.783 0.704 0.393
H5 H 0.784 0.535 0.043
H6 H 0.847 0.203 0.366
Pt1 Pt 0.530 0.523 0.913
Pt2 Pt 0.746 0.943 0.570
# - M_tot: 0.00 μB per formula unit
# - ρ: 7.21 g cm⁻³
# - Total energy: -41.032 eV/cell

---

# Ac8Pd3PtI4 (PBE, optimized geometry)
data_Ac8Pd3PtI4
_chemical_formula_sum 'Ac8 Pd3 Pt1 I4'
_symmetry_space_group_name_H-M 'P 1'
_symmetry_Int_Tables_number 1
_cell_length_a 8.971
_cell_length_b 8.971
_cell_length_c 10.099
_cell_angle_alpha 116.37
_cell_angle_beta 116.37
_cell_angle_gamma 60.00
loop_
_symmetry_equiv_pos_as_xyz
'x,y,z'
loop_
_atom_site_label
_atom_site_type_symbol
_atom_site_fract_x
_atom_site_fract_y
_atom_site_fract_z
Ac1 Ac 0.227 0.227 0.686
Ac2 Ac 0.228 0.732 0.687
Ac3 Ac 0.268 0.772 0.313
Ac4 Ac 0.271 0.271 0.313
Ac5 Ac 0.729 0.729 0.687
Ac6 Ac 0.732 0.228 0.687
Ac7 Ac 0.772 0.268 0.313
Ac8 Ac 0.773 0.773 0.314
Pd1 Pd 0.000 0.500 0.500
Pd2 Pd 0.500 0.000 0.500
Pd3 Pd 0.500 0.500 0.500
Pt1 Pt 0.000 0.000 0.500
I1 I 0.000 0.000 0.000
I2 I 0.000 0.500 0.000
I3 I 0.500 0.000 0.000
I4 I 0.500 0.500 0.000
# - M_tot: 0.00 μB per formula unit
# - Uncorrected formation energy: -24.2 kcal/mol of atoms
# - ρ: 7.80 g cm⁻³
# - Total energy: -77.449 eV/cell

---

# BaSr5Li6 (PBE, optimized geometry)
data_BaSr5Li6
_chemical_formula_sum 'Ba1 Sr5 Li6'
_symmetry_space_group_name_H-M 'P 1'
_symmetry_Int_Tables_number 1
_cell_length_a 9.494
_cell_length_b 9.494
_cell_length_c 8.583
_cell_angle_alpha 90.00
_cell_angle_beta 90.00
_cell_angle_gamma 143.08
loop_
_symmetry_equiv_pos_as_xyz
'x,y,z'
loop_
_atom_site_label
_atom_site_type_symbol
_atom_site_fract_x
_atom_site_fract_y
_atom_site_fract_z
Ba1 Ba 0.000 0.000 0.000
Sr1 Sr 0.000 0.000 0.500
Sr2 Sr 0.333 0.667 0.000
Sr3 Sr 0.335 0.665 0.500
Sr4 Sr 0.665 0.335 0.500
Sr5 Sr 0.667 0.333 0.000
Li1 Li 0.169 0.831 0.255
Li2 Li 0.169 0.831 0.745
Li3 Li 0.500 0.500 0.256
Li4 Li 0.500 0.500 0.744
Li5 Li 0.831 0.169 0.255
Li6 Li 0.831 0.169 0.745
# - M_tot: 0.00 μB per formula unit
# - ρ: 2.21 g cm⁻³
# - Total energy: -21.440 eV/cell

---

# Tb2Nd5Bi4 (PBE, optimized geometry)
data_Tb2Nd5Bi4
_chemical_formula_sum 'Tb2 Nd5 Bi4'
_symmetry_space_group_name_H-M 'P 1'
_symmetry_Int_Tables_number 1
_cell_length_a 14.782
_cell_length_b 14.782
_cell_length_c 10.783
_cell_angle_alpha 107.03
_cell_angle_beta 107.03
_cell_angle_gamma 13.66
loop_
_symmetry_equiv_pos_as_xyz
'x,y,z'
loop_
_atom_site_label
_atom_site_type_symbol
_atom_site_fract_x
_atom_site_fract_y
_atom_site_fract_z
Tb1 Tb 0.097 0.097 0.293
Tb2 Tb 0.903 0.903 0.707
Nd1 Nd 0.000 0.000 0.000
Nd2 Nd 0.305 0.305 0.471
Nd3 Nd 0.426 0.426 0.443
Nd4 Nd 0.574 0.574 0.557
Nd5 Nd 0.695 0.695 0.529
Bi1 Bi 0.200 0.200 0.263
Bi2 Bi 0.498 0.498 0.263
Bi3 Bi 0.502 0.502 0.737
Bi4 Bi 0.800 0.800 0.737
# - M_tot: 0.84 μB per formula unit
# - ρ: 5.86 g cm⁻³
# - Total energy: -49.091 eV/cell

---

# Hf2CuPd (PBE, optimized geometry)
data_Hf2CuPd
_chemical_formula_sum 'Hf2 Cu1 Pd1'
_symmetry_space_group_name_H-M 'P 1'
_symmetry_Int_Tables_number 1
_cell_length_a 3.318
_cell_length_b 3.318
_cell_length_c 6.420
_cell_angle_alpha 90.00
_cell_angle_beta 90.00
_cell_angle_gamma 90.00
loop_
_symmetry_equiv_pos_as_xyz
'x,y,z'
loop_
_atom_site_label
_atom_site_type_symbol
_atom_site_fract_x
_atom_site_fract_y
_atom_site_fract_z
Hf1 Hf 0.000 0.000 0.244
Hf2 Hf 0.000 0.000 0.756
Cu1 Cu 0.500 0.500 0.000
Pd1 Pd 0.500 0.500 0.500
# - M_tot: 0.00 μB per formula unit
# - ρ: 12.38 g cm⁻³
# - Total energy: -30.703 eV/cell